Material: Hf4Tc5Mo
Method: DFT, PBE
State: relaxed

size of the total moment	0.0	μB/f.u.
N(E_F)	8.132	states/eV/cell

Cell lengths 3.2257, 3.2257, 16.2605 Å; angles 90.00, 90.00, 90.00 degrees
Space group P4/mmm (No. 123)
Inequivalent atoms, fractional coordinates:
Hf  0.0000  0.0000  0.1014 [2 per cell]
Hf  0.0000  0.0000  0.3020 [2 per cell]
Tc  0.5000  0.5000  0.0000 [1 per cell]
Tc  0.5000  0.5000  0.2036 [2 per cell]
Tc  0.5000  0.5000  0.4075 [2 per cell]
Mo  0.0000  0.0000  0.5000 [1 per cell]

---

Material: K2SiSnTe4
Method: DFT, PBE
State: relaxed

formation energy (no corrections)	-11.383	kcal/mol of atoms
size of the total moment	0.0	μB/f.u.

Cell lengths 10.5483, 9.3823, 7.0221 Å; angles 90.00, 90.00, 90.00 degrees
Space group Pmn2_1 (No. 31)
Inequivalent atoms, fractional coordinates:
K  0.2481  0.1621  0.0000 [4 per cell]
Si  0.0000  0.6483  0.0694 [2 per cell]
Sn  0.0000  0.3205  0.5314 [2 per cell]
Te  0.0000  0.3932  0.9411 [2 per cell]
Te  0.0000  0.6153  0.4314 [2 per cell]
Te  0.2028  0.7827  0.9926 [4 per cell]

---

Material: Si2AsPt
Method: DFT, PBE
State: relaxed

formation energy (no corrections)	4.951	kcal/mol of atoms
size of the total moment	0.0	μB/f.u.
N(E_F)	2.382	states/eV/cell

Cell lengths 4.8309, 4.8309, 2.7370 Å; angles 90.00, 90.00, 90.00 degrees
Space group P4/mmm (No. 123)
Inequivalent atoms, fractional coordinates:
Si  0.0000  0.5000  0.0000 [2 per cell]
As  0.0000  0.0000  0.5000 [1 per cell]
Pt  0.5000  0.5000  0.5000 [1 per cell]

---

Material: Th2TiAs3Ir4
Method: DFT, PBE
State: relaxed

size of the total moment	0.0	μB/f.u.
N(E_F)	5.980	states/eV/cell

Cell lengths 4.1539, 4.1539, 10.8337 Å; angles 90.00, 90.00, 90.00 degrees
Space group P-4m2 (No. 115)
Inequivalent atoms, fractional coordinates:
Th  0.0000  0.5000  0.2383 [2 per cell]
Ti  0.0000  0.0000  0.5000 [1 per cell]
As  0.0000  0.5000  0.8633 [2 per cell]
As  0.5000  0.5000  0.5000 [1 per cell]
Ir  0.0000  0.0000  0.0000 [1 per cell]
Ir  0.0000  0.5000  0.6371 [2 per cell]
Ir  0.5000  0.5000  0.0000 [1 per cell]

---

Number 1: E_tot -10.652 eV per atom. Number 2: E_tot -3.517 eV per atom. Number 3: E_tot -5.169 eV per atom. Number 4: E_tot -8.054 eV per atom.